1.
The following is a PBE-GGA calculation of DyYTlS after structural relaxation, from Alexandria.

Summary:
E_tot (eV/f.u.): -22.2

Lattice parameters (Å, degrees): 3.803 3.806 8.410 90.01 103.00 119.96
Atoms (fractional coordinates):
S 0.304 0.550 0.869
Dy 0.504 0.150 0.669
Tl 0.969 0.383 0.367
Y 0.101 0.948 0.064

---

2.
The following is a PBE-GGA calculation of DyY3Tl2S after structural relaxation, from Alexandria.

Summary:
E_tot (eV/f.u.): -37.6

Lattice parameters (Å, degrees): 5.075 5.072 8.761 106.83 106.84 90.00
Atoms (fractional coordinates):
Y 0.172 0.172 0.345
Y 0.828 0.828 0.655
Y 0.000 0.500 0.000
Tl 0.367 0.367 0.734
Tl 0.633 0.633 0.266
Dy 0.500 0.000 0.000
S 0.000 0.000 0.000

---

3.
The following is a PBE-GGA calculation of Dy2YTl3S6 after structural relaxation, from Alexandria.

Summary:
E_tot (eV/f.u.): -65.4

Lattice parameters (Å, degrees): 6.985 6.985 7.872 98.50 98.50 120.00
Atoms (fractional coordinates):
S 0.934 0.600 0.802
S 0.600 0.934 0.802
S 0.268 0.268 0.802
S 0.066 0.400 0.198
S 0.732 0.732 0.198
S 0.400 0.066 0.198
Tl 0.833 0.167 0.500
Tl 0.167 0.833 0.500
Tl 0.500 0.500 0.500
Dy 0.667 0.333 0.000
Dy 0.333 0.667 0.000
Y 0.000 0.000 0.000

---

4.
The following is a PBE-GGA calculation of DyY2Tl3S6 after structural relaxation, from Alexandria.

Summary:
E_tot (eV/f.u.): -67.3

Lattice parameters (Å, degrees): 6.988 6.988 7.872 98.51 98.51 120.00
Atoms (fractional coordinates):
Tl 0.833 0.167 0.500
Tl 0.167 0.833 0.500
Tl 0.500 0.500 0.500
Dy 0.000 0.000 0.000
S 0.066 0.399 0.198
S 0.399 0.066 0.198
S 0.733 0.733 0.198
S 0.267 0.267 0.802
S 0.934 0.601 0.802
S 0.601 0.934 0.802
Y 0.667 0.333 0.000
Y 0.333 0.667 0.000